Density functional theory data (PBE) for crystalline MnPb2Se at its relaxed geometry.

Uncorrected energy (eV per atom): -4.97
Volume (A^3/atom): 25.154
ΔE_f (raw) (eV per atom): 0.050
Space-group type: Imm2
Crystal system: orthorhombic
Total magnetization (μB per atom): 0.980
N(E_F) (states/eV/cell): 1.90

```
MnPb2Se
1.0
-3.947 4.763 0.410
-4.047 0.702 -4.643
2.097 -3.587 4.601
Pb Mn Se
2 1 1
direct
0.965 0.965 0.000
0.258 0.758 0.500
0.723 0.223 0.500
0.554 0.554 0.000
```